First-principles (GGA+U) data for a relaxed SrLa2Mn2O7 crystal, as listed in Alexandria via LeMat-Bulk.

Properties
N(E_F)	0.79	states/eV/f.u.
total DFT energy (no corrections)	-7.6944	eV/atom

Lattice parameters (Å, degrees): 10.6553 10.6553 10.6553 158.73 158.73 30.26
Positions (direct):
Sr1 0.0000 0.0000 0.0000
La1 0.6339 0.6339 0.0000
La2 0.8210 0.8210 0.0000
Mn1 0.2186 0.2186 0.0000
Mn2 0.4151 0.4151 0.0000
O1 0.1189 0.1189 0.0000
O2 0.2181 0.7181 0.5000
O3 0.3130 0.3130 0.0000
O4 0.4079 0.9079 0.5000
O5 0.5229 0.5229 0.0000
O6 0.7181 0.2181 0.5000
O7 0.9079 0.4079 0.5000